Entry 1:
VASP calculation (GGA-PBE) on a geometry-optimized TaRh2Br structure.

Its raw formation energy is 392.0 meV per atom. As for the density of states at the Fermi level: 0.9 states/eV/cell. The value obtained for the energy above the most stable polymorph in this dataset is 630 meV per atom. Its space group is No. 225. The raw total energy comes out at -26.7 eV for the cell shown.

abc: 4.5718 4.5718 4.5718
angles: 60.00 60.00 60.00
Atoms (fractional coordinates):
1 Ta 0.0000 0.0000 0.0000
2 Rh 0.2500 0.2500 0.2500
3 Rh 0.7500 0.7500 0.7500
4 Br 0.5000 0.5000 0.5000

***

Entry 2:
VASP calculation (GGA-PBE) on a geometry-optimized NdCdAg3 structure.

As for the density of states at the Fermi level: 4.1 states/eV/cell. The value obtained for the energy above the most stable polymorph in this dataset is 0 meV per atom. Its space group is No. 11. The raw total energy comes out at -30.5 eV for the cell shown.

abc: 5.7923 5.8928 6.5000
angles: 90.00 92.54 90.00
Atoms (fractional coordinates):
1 Nd 0.1585 0.2500 0.1635
2 Nd 0.8415 0.7500 0.8365
3 Cd 0.0761 0.7500 0.3743
4 Cd 0.9239 0.2500 0.6257
5 Ag 0.3491 0.0036 0.6705
6 Ag 0.3491 0.4964 0.6705
7 Ag 0.3586 0.7500 0.0411
8 Ag 0.6414 0.2500 0.9589
9 Ag 0.6509 0.5036 0.3295
10 Ag 0.6509 0.9964 0.3295

***

Entry 3:
VASP calculation (GGA-PBE) on a geometry-optimized SmP2N4 structure.

Its raw formation energy is -616.5 meV per atom. Its space group is No. 1. The raw total energy comes out at -106.3 eV for the cell shown.

abc: 5.5610 5.8051 5.8497
angles: 98.32 104.65 112.05
Atoms (fractional coordinates):
1 Sm 0.0000 0.0000 0.0000
2 Sm 0.2375 0.8266 0.5527
3 P 0.0919 0.3281 0.6274
4 P 0.5835 0.9422 0.2233
5 P 0.6080 0.4861 0.3503
6 P 0.6917 0.4097 0.8558
7 N 0.3502 0.2568 0.7828
8 N 0.4298 0.6590 0.2979
9 N 0.4584 0.1605 0.3134
10 N 0.5201 0.8777 0.9404
11 N 0.7746 0.6135 0.6608
12 N 0.8074 0.5374 0.1635
13 N 0.8758 0.2599 0.7976
14 N 0.9173 0.0597 0.3845

***

Entry 4:
VASP calculation (GGA-PBE) on a geometry-optimized YScPtAu structure.

As for the density of states at the Fermi level: 2.6 states/eV/cell. Its space group is No. 99. The raw total energy comes out at -26.2 eV for the cell shown.

abc: 3.4315 3.4315 7.0057
angles: 90.00 90.00 90.00
Atoms (fractional coordinates):
1 Y 0.0000 0.0000 0.0000
2 Sc 0.0000 0.0000 0.5163
3 Pt 0.5000 0.5000 0.7337
4 Au 0.5000 0.5000 0.2827